[1]
VASP calculation (PBE-GGA) on an optimized crystal structure of ScTa2Te.

Unit cell a=4.7215 b=4.0781 c=4.0781 alpha=90.00 beta=90.00 gamma=90.00
Atoms (fractional coordinates):
Sc (0.5000, 0.0000, 0.5000)
Ta (0.0000, 0.0000, 0.0000)
Ta (0.0000, 0.5000, 0.5000)
Te (0.5000, 0.5000, 0.0000)

Calculated values
Magnetic moment in μB/atom: 0.0000
Uncorrected formation energy in meV per atom: 9
V in Å³/atom: 19.63
Offset from the most stable computed form in kJ/mol of formula units: 50

=====

[2]
VASP calculation (PBE-GGA) on an optimized crystal structure of MgNbInMo2.

Unit cell a=4.7438 b=5.1746 c=4.7438 alpha=90.00 beta=90.00 gamma=90.00
Atoms (fractional coordinates):
Mg (0.0000, 0.5000, 0.0000)
Mo (0.0000, 0.0000, 0.5000)
Mo (0.5000, 0.0000, 0.0000)
Nb (0.0000, 0.0000, 0.0000)
In (0.5000, 0.5000, 0.5000)

Calculated values
Magnetic moment in μB/atom: 0.0001
E_form in eV/f.u.: 7.12
V in Å³/atom: 23.29

=====

[3]
VASP calculation (PBE-GGA) on an optimized crystal structure of LuThAgPd.

Unit cell a=5.1076 b=5.1076 c=5.1076 alpha=60.00 beta=60.00 gamma=60.00
Atoms (fractional coordinates):
Pd (0.7500, 0.7500, 0.7500)
Lu (0.0000, 0.0000, 0.0000)
Ag (0.2500, 0.2500, 0.2500)
Th (0.5000, 0.5000, 0.5000)

Calculated values
Magnetic moment in μB/atom: 0.0002
E_form in eV/f.u.: -1.80
V in Å³/atom: 23.55